Record 1
NaIr2Pb2 | PBE | optimized geometry

The structure in CIF format:
```
data_NaIr2Pb2
_chemical_formula_sum 'Na1 Ir2 Pb2'
_symmetry_space_group_name_H-M 'P 1'
_symmetry_Int_Tables_number 1
_cell_length_a 4.7912
_cell_length_b 4.7912
_cell_length_c 6.2501
_cell_angle_alpha 67.46
_cell_angle_beta 67.46
_cell_angle_gamma 90.00
loop_
_symmetry_equiv_pos_as_xyz
'x,y,z'
loop_
_atom_site_label
_atom_site_fract_x
_atom_site_fract_y
_atom_site_fract_z
Pb1 0.7500 0.2500 0.5000
Pb2 0.2500 0.7500 0.5000
Na1 0.0000 0.0000 0.0000
Ir1 0.3849 0.3849 0.2302
Ir2 0.6151 0.6151 0.7698
```

Computed properties:
space group = I4/mmm (139)
D(E_F) = 0.52 states/eV/atom
VASP energy = -25.18 eV per cell
excess energy over the best structure of this formula in the dataset = 45.3 meV/atom
formation energy from the elements = 256 meV per atom

Record 2
Ca2Zn3Ni | PBE | optimized geometry

The structure in CIF format:
```
data_Ca2Zn3Ni
_chemical_formula_sum 'Ca2 Zn3 Ni1'
_symmetry_space_group_name_H-M 'P 1'
_symmetry_Int_Tables_number 1
_cell_length_a 4.3869
_cell_length_b 5.2156
_cell_length_c 6.6597
_cell_angle_alpha 113.05
_cell_angle_beta 109.23
_cell_angle_gamma 90.00
loop_
_symmetry_equiv_pos_as_xyz
'x,y,z'
loop_
_atom_site_label
_atom_site_fract_x
_atom_site_fract_y
_atom_site_fract_z
Ca1 0.7105 0.2105 0.4210
Ca2 0.2895 0.7895 0.5790
Zn1 0.3954 0.3954 0.7907
Zn2 0.0000 0.0000 0.0000
Zn3 0.6046 0.6046 0.2093
Ni1 0.0000 0.5000 0.0000
```

Computed properties:
space group = Immm (71)
D(E_F) = 0.63 states/eV/atom
VASP energy = -13.85 eV per cell
excess energy over the best structure of this formula in the dataset = 220.5 meV/atom
formation energy from the elements = -41 meV per atom

Record 3
Ce5MgSnGe2 | PBE | optimized geometry

The structure in CIF format:
```
data_Ce5MgSnGe2
_chemical_formula_sum 'Ce10 Mg2 Sn2 Ge4'
_symmetry_space_group_name_H-M 'P 1'
_symmetry_Int_Tables_number 1
_cell_length_a 7.8570
_cell_length_b 7.8570
_cell_length_c 9.6464
_cell_angle_alpha 114.03
_cell_angle_beta 114.03
_cell_angle_gamma 90.00
loop_
_symmetry_equiv_pos_as_xyz
'x,y,z'
loop_
_atom_site_label
_atom_site_fract_x
_atom_site_fract_y
_atom_site_fract_z
Ce1 0.9253 0.4253 0.2556
Ce2 0.6698 0.1698 0.7444
Ce3 0.0747 0.5747 0.7444
Ce4 0.1698 0.0747 0.7444
Ce5 0.5747 0.6698 0.7444
Ce6 0.8302 0.9253 0.2556
Ce7 0.4253 0.3302 0.2556
Ce8 0.3302 0.8302 0.2556
Ce9 0.5000 0.5000 0.0000
Ce10 0.0000 0.0000 0.0000
Mg1 0.2500 0.7500 0.5000
Mg2 0.7500 0.2500 0.5000
Sn1 0.2500 0.2500 0.5000
Sn2 0.7500 0.7500 0.5000
Ge1 0.1110 0.3890 0.0000
Ge2 0.6110 0.1110 0.0000
Ge3 0.3890 0.8890 0.0000
Ge4 0.8890 0.6110 0.0000
```

Computed properties:
space group = I4/mcm (140)
D(E_F) = 2.61 states/eV/atom
VASP energy = -95.74 eV per cell
formation energy from the elements = -374 meV per atom

Record 4
Y3GeBi | PBE | optimized geometry

The structure in CIF format:
```
data_Y3GeBi
_chemical_formula_sum 'Y12 Ge4 Bi4'
_symmetry_space_group_name_H-M 'P 1'
_symmetry_Int_Tables_number 1
_cell_length_a 8.1267
_cell_length_b 8.5158
_cell_length_c 8.5158
_cell_angle_alpha 81.29
_cell_angle_beta 89.99
_cell_angle_gamma 89.99
loop_
_symmetry_equiv_pos_as_xyz
'x,y,z'
loop_
_atom_site_label
_atom_site_fract_x
_atom_site_fract_y
_atom_site_fract_z
Y1 0.5871 0.8051 0.9731
Y2 0.9129 0.0269 0.1949
Y3 0.4129 0.1949 0.0269
Y4 0.0871 0.9731 0.8051
Y5 0.7943 0.4317 0.0683
Y6 0.7058 0.9317 0.5683
Y7 0.2057 0.5683 0.9317
Y8 0.2942 0.0683 0.4317
Y9 0.5871 0.5272 0.6950
Y10 0.9129 0.3050 0.4728
Y11 0.4129 0.4728 0.3050
Y12 0.0871 0.6950 0.5272
Ge1 0.8789 0.6888 0.8115
Ge2 0.6211 0.1885 0.3112
Ge3 0.1211 0.3112 0.1885
Ge4 0.3789 0.8115 0.6888
Bi1 0.2500 0.8381 0.1619
Bi2 0.7500 0.1619 0.8381
Bi3 0.2500 0.3384 0.6616
Bi4 0.7500 0.6616 0.3384
```

Computed properties:
space group = Cmce (64)
D(E_F) = 0.65 states/eV/atom
VASP energy = -125.86 eV per cell
excess energy over the best structure of this formula in the dataset = 0.0 meV/atom
formation energy from the elements = -715 meV per atom

Record 5
Pm2HgBr | PBE | optimized geometry

The structure in CIF format:
```
data_Pm2HgBr
_chemical_formula_sum 'Pm2 Hg1 Br1'
_symmetry_space_group_name_H-M 'P 1'
_symmetry_Int_Tables_number 1
_cell_length_a 3.7797
_cell_length_b 3.7797
_cell_length_c 9.5248
_cell_angle_alpha 78.56
_cell_angle_beta 78.56
_cell_angle_gamma 60.00
loop_
_symmetry_equiv_pos_as_xyz
'x,y,z'
loop_
_atom_site_label
_atom_site_fract_x
_atom_site_fract_y
_atom_site_fract_z
Pm1 0.0842 0.0842 0.7475
Pm2 0.2492 0.2492 0.2523
Hg1 0.6667 0.6667 0.9999
Br1 0.4999 0.4999 0.5003
```

Computed properties:
space group = R3m (160)
D(E_F) = 0.70 states/eV/atom
uncorrected formation energy = -0.77 eV/atom
VASP energy = -14.56 eV per cell
excess energy over the best structure of this formula in the dataset = 0.0 meV/atom

Record 6
CsRbGeS | PBE | optimized geometry

The structure in CIF format:
```
data_CsRbGeS
_chemical_formula_sum 'Cs2 Rb2 Ge2 S2'
_symmetry_space_group_name_H-M 'P 1'
_symmetry_Int_Tables_number 1
_cell_length_a 4.4400
_cell_length_b 4.8557
_cell_length_c 14.8089
_cell_angle_alpha 90.00
_cell_angle_beta 90.00
_cell_angle_gamma 90.00
loop_
_symmetry_equiv_pos_as_xyz
'x,y,z'
loop_
_atom_site_label
_atom_site_fract_x
_atom_site_fract_y
_atom_site_fract_z
Cs1 0.5000 0.0000 0.4675
Cs2 0.5000 0.5000 0.9675
Ge1 0.0000 0.0000 0.8115
Ge2 0.0000 0.5000 0.3115
S1 0.0000 0.0000 0.6582
S2 0.0000 0.5000 0.1582
Rb1 0.5000 0.0000 0.2002
Rb2 0.5000 0.5000 0.7002
```

Computed properties:
space group = Amm2 (38)
D(E_F) = 0.58 states/eV/atom
uncorrected formation energy = -0.47 eV/atom
VASP energy = -24.89 eV per cell
excess energy over the best structure of this formula in the dataset = 0.0 meV/atom

Record 7
HfInF2 | PBE | optimized geometry

The structure in CIF format:
```
data_HfInF2
_chemical_formula_sum 'Hf1 In1 F2'
_symmetry_space_group_name_H-M 'P 1'
_symmetry_Int_Tables_number 1
_cell_length_a 9.0562
_cell_length_b 9.0562
_cell_length_c 9.0562
_cell_angle_alpha 20.79
_cell_angle_beta 20.79
_cell_angle_gamma 20.79
loop_
_symmetry_equiv_pos_as_xyz
'x,y,z'
loop_
_atom_site_label
_atom_site_fract_x
_atom_site_fract_y
_atom_site_fract_z
F1 0.9260 0.9260 0.9260
F2 0.0740 0.0740 0.0740
Hf1 0.0000 0.0000 0.0000
In1 0.5000 0.5000 0.5000
```

Computed properties:
space group = R-3m (166)
D(E_F) = 0.54 states/eV/atom
uncorrected formation energy = -1.90 eV/atom
VASP energy = -24.04 eV per cell
excess energy over the best structure of this formula in the dataset = 0.0 meV/atom

Record 8
Ce4DyY | PBE | optimized geometry

The structure in CIF format:
```
data_Ce4DyY
_chemical_formula_sum 'Ce4 Dy1 Y1'
_symmetry_space_group_name_H-M 'P 1'
_symmetry_Int_Tables_number 1
_cell_length_a 6.3270
_cell_length_b 6.3270
_cell_length_c 6.3270
_cell_angle_alpha 60.00
_cell_angle_beta 60.00
_cell_angle_gamma 60.00
loop_
_symmetry_equiv_pos_as_xyz
'x,y,z'
loop_
_atom_site_label
_atom_site_fract_x
_atom_site_fract_y
_atom_site_fract_z
Y1 0.0000 0.0000 0.0000
Ce1 0.6243 0.6243 0.1272
Ce2 0.6243 0.1272 0.6243
Ce3 0.6243 0.6243 0.6243
Ce4 0.1272 0.6243 0.6243
Dy1 0.2500 0.2500 0.2500
```

Computed properties:
space group = F-43m (216)
D(E_F) = 3.10 states/eV/atom
VASP energy = -33.57 eV per cell
formation energy from the elements = 205 meV per atom

Record 9
Tl2CdHg7Pb2 | PBE | optimized geometry

The structure in CIF format:
```
data_Tl2CdHg7Pb2
_chemical_formula_sum 'Tl2 Cd1 Hg7 Pb2'
_symmetry_space_group_name_H-M 'P 1'
_symmetry_Int_Tables_number 1
_cell_length_a 5.7786
_cell_length_b 6.0133
_cell_length_c 10.3433
_cell_angle_alpha 102.06
_cell_angle_beta 106.22
_cell_angle_gamma 90.00
loop_
_symmetry_equiv_pos_as_xyz
'x,y,z'
loop_
_atom_site_label
_atom_site_fract_x
_atom_site_fract_y
_atom_site_fract_z
Tl1 0.3324 0.4073 0.6648
Tl2 0.6676 0.5927 0.3352
Cd1 0.0000 0.0000 0.0000
Hg1 0.4200 0.9629 0.8400
Hg2 0.8460 0.7825 0.6919
Hg3 0.0778 0.6143 0.1557
Hg4 0.5800 0.0370 0.1600
Hg5 0.1540 0.2175 0.3081
Hg6 0.9222 0.3857 0.8443
Hg7 0.5000 0.4999 0.0000
Pb1 0.2482 0.8449 0.4964
Pb2 0.7518 0.1551 0.5036
```

Computed properties:
space group = C2/m (12)
D(E_F) = 0.44 states/eV/atom
VASP energy = -14.92 eV per cell
formation energy from the elements = 21 meV per atom

Record 10
Al2GeO5 | PBE | optimized geometry

The structure in CIF format:
```
data_Al2GeO5
_chemical_formula_sum 'Al8 Ge4 O20'
_symmetry_space_group_name_H-M 'P 1'
_symmetry_Int_Tables_number 1
_cell_length_a 5.7224
_cell_length_b 8.0225
_cell_length_c 8.1358
_cell_angle_alpha 90.00
_cell_angle_beta 90.00
_cell_angle_gamma 90.00
loop_
_symmetry_equiv_pos_as_xyz
'x,y,z'
loop_
_atom_site_label
_atom_site_fract_x
_atom_site_fract_y
_atom_site_fract_z
Al1 0.2430 0.0000 0.0000
Al2 0.7570 0.0000 0.0000
Al3 0.0000 0.1286 0.6383
Al4 0.5000 0.3714 0.1383
Al5 0.2570 0.5000 0.5000
Al6 0.7430 0.5000 0.5000
Al7 0.5000 0.6286 0.8617
Al8 0.0000 0.8714 0.3617
Ge1 0.0000 0.2457 0.2475
Ge2 0.5000 0.2543 0.7475
Ge3 0.5000 0.7457 0.2525
Ge4 0.0000 0.7543 0.7525
O1 0.0000 0.0706 0.8614
O2 0.5000 0.0676 0.8654
O3 0.0000 0.0967 0.4036
O4 0.2514 0.2289 0.1231
O5 0.7486 0.2289 0.1231
O6 0.2486 0.2711 0.6231
O7 0.7514 0.2711 0.6231
O8 0.5000 0.4033 0.9036
O9 0.0000 0.4324 0.3654
O10 0.5000 0.4294 0.3614
O11 0.5000 0.5706 0.6386
O12 0.0000 0.5676 0.6346
O13 0.5000 0.5967 0.0964
O14 0.2486 0.7289 0.3769
O15 0.7514 0.7289 0.3769
O16 0.2514 0.7711 0.8769
O17 0.7486 0.7711 0.8769
O18 0.0000 0.9033 0.5964
O19 0.5000 0.9324 0.1346
O20 0.0000 0.9294 0.1386
```

Computed properties:
space group = Pnnm (58)
D(E_F) = 0.00 states/eV/atom
uncorrected formation energy = -2.51 eV/atom
VASP energy = -227.79 eV per cell
excess energy over the best structure of this formula in the dataset = 0.0 meV/atom

Record 11
MgW2S2 | PBE | optimized geometry

The structure in CIF format:
```
data_MgW2S2
_chemical_formula_sum 'Mg1 W2 S2'
_symmetry_space_group_name_H-M 'P 1'
_symmetry_Int_Tables_number 1
_cell_length_a 4.2114
_cell_length_b 4.2114
_cell_length_c 5.8278
_cell_angle_alpha 68.82
_cell_angle_beta 68.82
_cell_angle_gamma 90.00
loop_
_symmetry_equiv_pos_as_xyz
'x,y,z'
loop_
_atom_site_label
_atom_site_fract_x
_atom_site_fract_y
_atom_site_fract_z
S1 0.3614 0.3614 0.2771
S2 0.6386 0.6386 0.7229
Mg1 0.0000 0.0000 0.0000
W1 0.7500 0.2500 0.5000
W2 0.2500 0.7500 0.5000
```

Computed properties:
space group = I4/mmm (139)
D(E_F) = 1.26 states/eV/atom
uncorrected formation energy = 0.12 eV/atom
VASP energy = -35.14 eV per cell
excess energy over the best structure of this formula in the dataset = 0.0 meV/atom

Record 12
B5C | PBE | optimized geometry

The structure in CIF format:
```
data_B5C
_chemical_formula_sum 'B10 C2'
_symmetry_space_group_name_H-M 'P 1'
_symmetry_Int_Tables_number 1
_cell_length_a 4.6950
_cell_length_b 4.7196
_cell_length_c 4.4065
_cell_angle_alpha 91.66
_cell_angle_beta 102.92
_cell_angle_gamma 119.28
loop_
_symmetry_equiv_pos_as_xyz
'x,y,z'
loop_
_atom_site_label
_atom_site_fract_x
_atom_site_fract_y
_atom_site_fract_z
B1 0.1576 0.8625 0.4972
B2 0.0944 0.6257 0.1416
B3 0.5510 0.5455 0.6080
B4 0.2795 0.3600 0.1905
B5 0.4288 0.6817 0.9345
B6 0.1573 0.4962 0.5170
B7 0.7729 0.1441 0.1321
B8 0.6139 0.4159 0.9834
B9 0.5507 0.1792 0.6278
B10 0.9355 0.8976 0.9929
C1 0.8238 0.1570 0.5069
C2 0.8845 0.8846 0.6181
```

Computed properties:
space group = P-1 (2)
D(E_F) = 0.10 states/eV/atom
VASP energy = -81.41 eV per cell
excess energy over the best structure of this formula in the dataset = 120.6 meV/atom
formation energy from the elements = 318 meV per atom